Entry 1:
Density functional theory data (SCAN) for a crystal of LiTe2Pb relaxed with PBEsol.

Values from the calculation:
ΔE_f (raw) in meV per atom: -443
D(E_F) in states/eV per cell: 1.14

abc: 3.3502 5.5376 6.1295
angles: 90.00 90.00 89.97
Closest atoms and distances in Å follow each position.
Element x y z (fractional)
Pb 0.1962 0.1255 0.5000  6 Te 3.10-3.34, 2 Pb 3.35
Te 0.0494 0.1245 0.0000  2 Pb 3.10, 4 Li 3.13-3.36, 2 Te 3.35
Te 0.6393 0.6254 0.5000  2 Li 3.07, 4 Pb 3.14-3.34, 2 Te 3.35
Li 0.6151 0.6246 0.0000  6 Te 3.07-3.36, 2 Li 3.35

Entry 2:
Density functional theory data (SCAN) for a crystal of LiTe2Pb relaxed with PBEsol.

Values from the calculation:
ΔE_f (raw) in meV per atom: -440
D(E_F) in states/eV per cell: 6.40

abc: 6.4020 6.4020 8.2319
angles: 112.88 112.88 90.00
Closest atoms and distances in Å follow each position.
Element x y z (fractional)
Pb 0.2500 0.7500 0.5000  4 Te 3.00
Pb 0.0000 0.0000 0.0000  4 Te 3.00
Te 0.8346 0.3750 0.2500  2 Li 2.70, 2 Pb 3.00
Te 0.1250 0.1654 0.7500  2 Li 2.70, 2 Pb 3.00
Te 0.4154 0.8750 0.2500  2 Li 2.70, 2 Pb 3.00
Te 0.6250 0.5846 0.7500  2 Li 2.70, 2 Pb 3.00
Li 0.7500 0.2500 0.5000  4 Te 2.70
Li 0.5000 0.5000 0.0000  4 Te 2.70

Entry 3:
Density functional theory data (SCAN) for a crystal of Li2Te2Pb relaxed with PBEsol.

Values from the calculation:
ΔE_f (raw) in meV per atom: -538
D(E_F) in states/eV per cell: 2.13
Relative energy among the computed polymorphs in eV/f.u.: 0.575

abc: 3.7591 7.9269 7.9269
angles: 90.00 90.00 90.00
Closest atoms and distances in Å follow each position.
Element x y z (fractional)
Li 0.0000 0.8779 0.6221  1 Li 2.74, 2 Te 2.89
Li 0.0000 0.1221 0.3779  1 Li 2.74, 2 Te 2.89
Li 0.0000 0.3779 0.8779  1 Li 2.74, 2 Te 2.89
Li 0.0000 0.6221 0.1221  1 Li 2.74, 2 Te 2.89
Te 0.5000 0.8176 0.3176  6 Li 2.89-3.10
Te 0.5000 0.1824 0.6824  6 Li 2.89-3.10
Te 0.5000 0.6824 0.8176  6 Li 2.89-3.10
Te 0.5000 0.3176 0.1824  6 Li 2.89-3.10
Pb 0.0000 0.5000 0.5000  4 Li 3.15, 8 Te 3.46
Pb 0.0000 0.0000 0.0000  4 Li 3.15, 8 Te 3.46

Entry 4:
Density functional theory data (SCAN) for a crystal of Li2Te2Pb relaxed with PBEsol.

Values from the calculation:
ΔE_f (raw) in meV per atom: -620
D(E_F) in states/eV per cell: 2.71
Relative energy among the computed polymorphs in eV/f.u.: 0.165

abc: 3.3963 8.5883 8.5883
angles: 90.00 90.00 90.00
Closest atoms and distances in Å follow each position.
Element x y z (fractional)
Te 0.0000 0.8334 0.6666  6 Li 3.00-3.08, 2 Pb 3.20
Te 0.0000 0.6666 0.1666  6 Li 3.00-3.08, 2 Pb 3.20
Te 0.0000 0.3334 0.8334  6 Li 3.00-3.08, 2 Pb 3.20
Te 0.0000 0.1666 0.3334  6 Li 3.00-3.08, 2 Pb 3.20
Pb 0.0000 0.0000 0.0000  4 Te 3.20, 2 Pb 3.40
Pb 0.0000 0.5000 0.5000  4 Te 3.20, 2 Pb 3.40
Li 0.5000 0.1302 0.6302  6 Te 3.00-3.08, 1 Li 3.16
Li 0.5000 0.8698 0.3698  6 Te 3.00-3.08, 1 Li 3.16
Li 0.5000 0.3698 0.1302  6 Te 3.00-3.08, 1 Li 3.16
Li 0.5000 0.6302 0.8698  6 Te 3.00-3.08, 1 Li 3.16

Entry 5:
Density functional theory data (SCAN) for a crystal of LiTePb relaxed with PBEsol.

Values from the calculation:
ΔE_f (raw) in meV per atom: -307
D(E_F) in states/eV per cell: 1.83

abc: 3.5681 3.5681 6.4016
angles: 106.18 106.18 90.00
Closest atoms and distances in Å follow each position.
Element x y z (fractional)
Te 0.3752 0.3752 0.7505  4 Li 2.80
Pb 0.6467 0.6467 0.2934  1 Te 3.19, 4 Li 3.21, 4 Pb 3.57
Li 0.9781 0.9781 0.9562  4 Te 2.80

Entry 6:
Density functional theory data (SCAN) for a crystal of LiTe2Pb relaxed with PBEsol.

Values from the calculation:
ΔE_f (raw) in meV per atom: -460
D(E_F) in states/eV per cell: 2.43

abc: 4.1777 4.1777 6.7318
angles: 90.00 90.00 90.00
Closest atoms and distances in Å follow each position.
Element x y z (fractional)
Te 0.0000 0.0000 0.9429  1 Li 2.87, 4 Pb 3.09
Te 0.5000 0.5000 0.3793  1 Pb 2.89, 4 Li 2.95
Li 0.0000 0.0000 0.3688  5 Te 2.87-2.95
Pb 0.5000 0.5000 0.8090  5 Te 2.89-3.09

Entry 7:
Density functional theory data (SCAN) for a crystal of LiTe2Pb relaxed with PBEsol.

Values from the calculation:
ΔE_f (raw) in meV per atom: -482
D(E_F) in states/eV per cell: 2.62

abc: 4.3093 4.3093 7.2730
angles: 72.77 72.77 60.00
Closest atoms and distances in Å follow each position.
Element x y z (fractional)
Te 0.7391 0.7391 0.7826  3 Li 2.90, 3 Pb 3.15
Te 0.2609 0.2609 0.2174  3 Li 2.90, 3 Pb 3.15
Pb 0.5000 0.5000 0.5000  6 Te 3.15
Li 0.0000 0.0000 0.0000  6 Te 2.90

Entry 8:
Density functional theory data (SCAN) for a crystal of LiTe2Pb relaxed with PBEsol.

Values from the calculation:
ΔE_f (raw) in meV per atom: -398
D(E_F) in states/eV per cell: 0.95

abc: 4.1480 4.1912 6.5123
angles: 90.00 105.70 90.00
Closest atoms and distances in Å follow each position.
Element x y z (fractional)
Te 0.0503 0.0000 0.7686  2 Li 2.94, 1 Te 3.15, 2 Pb 3.24
Te 0.9497 0.0000 0.2314  2 Li 2.94, 1 Te 3.15, 2 Pb 3.24
Li 0.5000 0.5000 0.0000  4 Te 2.94, 2 Pb 3.26
Pb 0.5000 0.5000 0.5000  8 Te 3.24-3.56, 2 Li 3.26

Entry 9:
Density functional theory data (SCAN) for a crystal of LiTl2Pb relaxed with PBEsol.

Values from the calculation:
D(E_F) in states/eV per cell: 1.41
Energy of formation from the pure elements in eV/atom: -0.133
Relative energy among the computed polymorphs in eV/f.u.: 0.070

abc: 3.7789 5.2704 6.0373
angles: 115.88 108.24 90.00
Closest atoms and distances in Å follow each position.
Element x y z (fractional)
Pb 0.0000 0.5000 0.0000  4 Li 3.24, 8 Tl 3.34-3.52
Tl 0.2294 0.2294 0.4589  2 Li 3.01, 4 Tl 3.27, 2 Pb 3.34
Tl 0.7706 0.7706 0.5411  2 Li 3.01, 4 Tl 3.27, 2 Pb 3.34
Li 0.5000 0.0000 0.0000  4 Tl 3.01, 4 Pb 3.24

Entry 10:
Density functional theory data (SCAN) for a crystal of LiTl2Pb relaxed with PBEsol.

Values from the calculation:
D(E_F) in states/eV per cell: 1.75
Energy of formation from the pure elements in eV/atom: -0.151
Relative energy among the computed polymorphs in eV/f.u.: 0.000

abc: 3.3621 3.3621 8.8495
angles: 90.00 90.00 90.00
Closest atoms and distances in Å follow each position.
Element x y z (fractional)
Pb 0.5000 0.5000 0.7109  4 Li 3.06, 4 Pb 3.36
Li 0.0000 0.0000 0.4935  4 Tl 2.99, 4 Pb 3.06
Tl 0.0000 0.0000 0.0063  8 Tl 3.36-3.45, 4 Pb 3.53
Tl 0.5000 0.5000 0.2894  4 Li 2.99

Entry 11:
Density functional theory data (SCAN) for a crystal of Li2TlPb relaxed with PBEsol.

Values from the calculation:
D(E_F) in states/eV per cell: 1.53
Energy of formation from the pure elements in eV/atom: -0.291
Relative energy among the computed polymorphs in eV/f.u.: 0.263

abc: 4.3548 4.3548 5.5613
angles: 113.05 113.05 90.00
Closest atoms and distances in Å follow each position.
Element x y z (fractional)
Pb 0.5000 0.5000 0.0000  8 Li 3.08-3.18, 4 Tl 3.18
Li 0.7500 0.2500 0.5000  4 Tl 3.08, 4 Pb 3.18, 4 Li 3.18
Li 0.0000 0.0000 0.0000  4 Pb 3.08, 4 Tl 3.18, 4 Li 3.18
Tl 0.2500 0.7500 0.5000  8 Li 3.08-3.18, 4 Pb 3.18

Entry 12:
Density functional theory data (SCAN) for a crystal of Li2TlPb relaxed with PBEsol.

Values from the calculation:
D(E_F) in states/eV per cell: 1.43
Energy of formation from the pure elements in eV/atom: -0.299
Relative energy among the computed polymorphs in eV/f.u.: 0.229

abc: 3.4556 4.8912 5.5368
angles: 102.67 108.18 90.00
Closest atoms and distances in Å follow each position.
Element x y z (fractional)
Pb 0.4925 0.4552 0.9849  7 Li 2.98-3.05, 1 Tl 3.29
Li 0.7484 0.2822 0.4968  4 Tl 2.95-3.05, 3 Pb 3.00-3.05, 2 Li 3.22
Li 0.0004 0.9628 0.0008  4 Pb 2.98-3.01, 3 Tl 3.00-3.02, 2 Li 3.22
Tl 0.2587 0.7998 0.5175  7 Li 2.95-3.05, 1 Pb 3.29

Entry 13:
Density functional theory data (SCAN) for a crystal of Li3TlPb relaxed with PBEsol.

Values from the calculation:
D(E_F) in states/eV per cell: 1.61
Energy of formation from the pure elements in eV/atom: -0.057

abc: 5.1684 5.1684 5.1684
angles: 90.00 90.00 90.00
Closest atoms and distances in Å follow each position.
Element x y z (fractional)
Pb 0.0000 0.0000 0.0000  6 Li 2.58
Tl 0.5000 0.5000 0.5000  12 Li 3.65
Li 0.0000 0.0000 0.5000  2 Pb 2.58
Li 0.0000 0.5000 0.0000  2 Pb 2.58
Li 0.5000 0.0000 0.0000  2 Pb 2.58

Entry 14:
Density functional theory data (SCAN) for a crystal of Li2TlPb relaxed with PBEsol.

Values from the calculation:
D(E_F) in states/eV per cell: 1.67
Energy of formation from the pure elements in eV/atom: -0.243
Relative energy among the computed polymorphs in eV/f.u.: 0.456

abc: 3.3329 3.3329 9.5344
angles: 79.93 79.93 60.00
Closest atoms and distances in Å follow each position.
Element x y z (fractional)
Pb 0.5000 0.5000 0.5000  6 Li 3.02, 6 Pb 3.33
Li 0.2499 0.2499 0.2502  3 Pb 3.02, 3 Tl 3.03, 6 Li 3.33
Li 0.7501 0.7501 0.7498  3 Pb 3.02, 3 Tl 3.03, 6 Li 3.33
Tl 0.0000 0.0000 0.0000  6 Li 3.03, 6 Tl 3.33

Entry 15:
Density functional theory data (SCAN) for a crystal of LiTl2Pb relaxed with PBEsol.

Values from the calculation:
D(E_F) in states/eV per cell: 1.69
Energy of formation from the pure elements in eV/atom: -0.117
Relative energy among the computed polymorphs in eV/f.u.: 0.135

abc: 3.4607 3.4607 10.0644
angles: 80.10 80.10 60.00
Closest atoms and distances in Å follow each position.
Element x y z (fractional)
Tl 0.7587 0.7587 0.7240  3 Li 2.98
Tl 0.2413 0.2413 0.2760  3 Li 2.98
Pb 0.0000 0.0000 0.0000  6 Tl 3.38, 6 Pb 3.46
Li 0.5000 0.5000 0.5000  6 Tl 2.98